## AsPb2Br (GGA-PBE)

Data for a geometry-optimized AsPb2Br structure.

POSCAR file:
```
AsPb2Br
1.0
2.464 -4.109 -2.453
0.976 -4.552 2.701
-2.753 -4.472 -1.180
Pb As Br
2 1 1
Direct
0.250 0.250 0.250
0.750 0.750 0.750
0.000 0.000 0.000
0.500 0.500 0.500
```

Computed properties:
Space group: Fm-3m, No. 225
Offset from the most stable computed form (kJ/mol of formula units): 85
Formation energy without anion corrections (eV/atom): -0.176
Total DFT energy (no corrections) (Ry per atom): -0.2654